# 1
Crystalline KNbHg at its relaxed geometry. Source: Alexandria, functional PBE.

Results
**DFT total energy**: -3.448 eV per atom
**ΔH_f (0 K)**: 0.38 eV/atom
**ΔE to the lowest computed polymorph**: 0.181 eV per atom
**Density**: 6.87 g cm⁻³
**Fermi-level density of states**: 3.973 states/eV per cell

a = 6.377 Å, b = 8.925 Å, c = 3.104 Å
α = 95.76°, β = 102.31°, γ = 108.70°
Positions (direct):
K1 0.196 0.393 0.192
Nb1 0.828 0.000 0.633
K2 0.804 0.607 0.808
Hg1 0.602 0.203 0.104
Hg2 0.398 0.797 0.896
Nb2 0.172 0.000 0.367


# 2
Crystalline KNbHg at its relaxed geometry. Source: Alexandria, functional PBE.

Results
**DFT total energy**: -3.629 eV per atom
**ΔH_f (0 K)**: 0.19 eV/atom
**ΔE to the lowest computed polymorph**: 0.000 eV per atom
**Density**: 6.36 g cm⁻³
**Fermi-level density of states**: 5.132 states/eV per cell

a = 3.522 Å, b = 13.988 Å, c = 3.524 Å
α = 90.01°, β = 90.00°, γ = 90.37°
Positions (direct):
K1 0.946 0.159 0.273
Nb1 0.436 0.762 0.772
Hg1 0.442 0.982 0.772
Nb2 0.938 0.852 0.272
K2 0.427 0.455 0.772
Hg2 0.932 0.632 0.272


# 3
Crystalline KNbHg at its relaxed geometry. Source: Alexandria, functional PBE.

Results
**DFT total energy**: -3.379 eV per atom
**ΔH_f (0 K)**: 0.44 eV/atom
**ΔE to the lowest computed polymorph**: 0.250 eV per atom
**Density**: 6.38 g cm⁻³
**Fermi-level density of states**: 3.926 states/eV per cell

a = 9.849 Å, b = 3.341 Å, c = 5.458 Å
α = 90.00°, β = 105.39°, γ = 90.00°
Positions (direct):
Nb1 0.922 0.500 0.134
K1 0.111 0.000 0.724
K2 0.396 0.000 0.360
Hg1 0.770 0.500 0.561
Nb2 0.723 0.000 0.039
Hg2 0.468 0.500 0.894


# 4
Crystalline KNbHg at its relaxed geometry. Source: Alexandria, functional PBE.

Results
**DFT total energy**: -3.420 eV per atom
**ΔH_f (0 K)**: 0.40 eV/atom
**ΔE to the lowest computed polymorph**: 0.209 eV per atom
**Density**: 6.17 g cm⁻³
**Fermi-level density of states**: 4.231 states/eV per cell

a = 6.382 Å, b = 9.080 Å, c = 3.185 Å
α = 91.68°, β = 78.30°, γ = 97.60°
Positions (direct):
Hg1 0.259 0.828 0.246
Nb1 0.653 0.265 0.014
K1 0.769 0.796 0.900
K2 0.205 0.477 0.745
Hg2 0.997 0.143 0.357
Nb2 0.406 0.101 0.687